Record 1
A plane-wave DFT calculation with PBE+U was carried out for crystalline AlSbW2O at its relaxed geometry.

The calculation puts the total energy at -17.25 eV for the cell shown.

The space group is P4/mmm (No. 123) and the conventional cell measures 4.9258, 4.9258 and 5.0419 Å, with angles of 90.00, 90.00 and 90.00 degrees. Symmetry generates all atoms from Al at (0.0000, 0.0000, 0.0000), Sb at (0.0000, 0.0000, 0.5000), W at (0.0000, 0.5000, 0.0000) and O at (0.5000, 0.5000, 0.5000).

***

Record 2
A plane-wave DFT calculation with PBE+U was carried out for crystalline AlSbW2O8 at its relaxed geometry.

The calculation puts the total energy at -172.16 eV for the cell shown.

The space group is P2/c (No. 13) and the conventional cell measures 5.1977, 5.6285 and 10.6782 Å, with angles of 90.00, 119.06 and 90.00 degrees. Symmetry generates all atoms from Al at (0.0000, 0.1650, 0.2500), Sb at (0.5000, 0.1397, 0.7500), W at (0.2421, 0.3421, 0.9985), O at (0.0250, 0.3821, 0.1204), O at (0.0571, 0.1011, 0.6407), O at (0.4285, 0.1199, 0.3602) and O at (0.4732, 0.3810, 0.8807).